[1]
# Li2PmPuS4 (PBE-GGA, relaxed)
# space group: P2/m
# total DFT energy (no corrections): -6.585 eV/atom
# formation energy (no corrections): -1.658 eV per atom
data_Li2PmPuS4
_chemical_formula_sum 'Li2 Pm1 Pu1 S4'
_symmetry_space_group_name_H-M 'P 1'
_symmetry_Int_Tables_number 1
_cell_length_a 4.0051
_cell_length_b 6.9238
_cell_length_c 6.5815
_cell_angle_alpha 110.66
_cell_angle_beta 90.00
_cell_angle_gamma 90.00
loop_
_symmetry_equiv_pos_as_xyz
'x,y,z'
loop_
_atom_site_label
_atom_site_fract_x
_atom_site_fract_y
_atom_site_fract_z
_atom_site_occupancy
Li1 0.5000 0.0000 0.5000 1
Li2 0.0000 0.5000 0.5000 1
Pm1 0.0000 0.0000 0.0000 1
Pu1 0.5000 0.5000 0.0000 1
S1 0.5000 0.2551 0.2565 1
S2 0.5000 0.7449 0.7435 1
S3 0.0000 0.2551 0.7493 1
S4 0.0000 0.7449 0.2507 1

[2]
# LiPm2PuS4 (PBE-GGA, relaxed)
# space group: P2/m
# total DFT energy (no corrections): -7.125 eV/atom
# formation energy (no corrections): -1.843 eV per atom
data_LiPm2PuS4
_chemical_formula_sum 'Li1 Pm2 Pu1 S4'
_symmetry_space_group_name_H-M 'P 1'
_symmetry_Int_Tables_number 1
_cell_length_a 3.9922
_cell_length_b 6.8913
_cell_length_c 6.8717
_cell_angle_alpha 109.92
_cell_angle_beta 90.00
_cell_angle_gamma 90.00
loop_
_symmetry_equiv_pos_as_xyz
'x,y,z'
loop_
_atom_site_label
_atom_site_fract_x
_atom_site_fract_y
_atom_site_fract_z
_atom_site_occupancy
Li1 0.0000 0.0000 0.0000 1
Pm1 0.5000 0.0000 0.5000 1
Pm2 0.0000 0.5000 0.5000 1
Pu1 0.5000 0.5000 0.0000 1
S1 0.5000 0.2432 0.2413 1
S2 0.5000 0.7568 0.7587 1
S3 0.0000 0.2504 0.7590 1
S4 0.0000 0.7496 0.2410 1

[3]
# LiPm3Pu2S6 (PBE-GGA, relaxed)
# space group: C2/m
# total DFT energy (no corrections): -7.662 eV/atom
# formation energy (no corrections): -1.863 eV per atom
data_LiPm3Pu2S6
_chemical_formula_sum 'Li1 Pm3 Pu2 S6'
_symmetry_space_group_name_H-M 'P 1'
_symmetry_Int_Tables_number 1
_cell_length_a 6.8984
_cell_length_b 6.8984
_cell_length_c 6.9026
_cell_angle_alpha 99.60
_cell_angle_beta 99.60
_cell_angle_gamma 120.01
loop_
_symmetry_equiv_pos_as_xyz
'x,y,z'
loop_
_atom_site_label
_atom_site_fract_x
_atom_site_fract_y
_atom_site_fract_z
_atom_site_occupancy
Li1 0.0000 0.0000 0.0000 1
Pm1 0.1663 0.8337 0.5000 1
Pm2 0.8337 0.1663 0.5000 1
Pm3 0.5000 0.5000 0.5000 1
Pu1 0.3335 0.6665 0.0000 1
Pu2 0.6665 0.3335 0.0000 1
S1 0.9195 0.5902 0.7587 1
S2 0.7510 0.7510 0.2405 1
S3 0.0805 0.4098 0.2413 1
S4 0.5902 0.9195 0.7587 1
S5 0.2490 0.2490 0.7595 1
S6 0.4098 0.0805 0.2413 1

[4]
# LiPmPuS3 (PBE-GGA, relaxed)
# space group: P2_1/m
# total DFT energy (no corrections): -7.265 eV/atom
# formation energy (no corrections): -1.702 eV per atom
data_LiPmPuS3
_chemical_formula_sum 'Li2 Pm2 Pu2 S6'
_symmetry_space_group_name_H-M 'P 1'
_symmetry_Int_Tables_number 1
_cell_length_a 3.8800
_cell_length_b 8.1624
_cell_length_c 8.4921
_cell_angle_alpha 101.48
_cell_angle_beta 90.00
_cell_angle_gamma 90.00
loop_
_symmetry_equiv_pos_as_xyz
'x,y,z'
loop_
_atom_site_label
_atom_site_fract_x
_atom_site_fract_y
_atom_site_fract_z
_atom_site_occupancy
Li1 0.2500 0.0881 0.5823 1
Li2 0.7500 0.9119 0.4177 1
Pm1 0.2500 0.1781 0.2179 1
Pm2 0.7500 0.8219 0.7821 1
Pu1 0.2500 0.6622 0.1701 1
Pu2 0.7500 0.3378 0.8299 1
S1 0.7500 0.9030 0.1349 1
S2 0.2500 0.0970 0.8651 1
S3 0.2500 0.7894 0.5113 1
S4 0.7500 0.2106 0.4887 1
S5 0.7500 0.4193 0.1654 1
S6 0.2500 0.5807 0.8346 1

Which value of total DFT energy (no corrections) does entry 4 give? -7.265 eV/atom